Pm2NdCo6, relaxed, DFT PBE-GGA; Fermi-level density of states = 0.827 states/eV/atom; space-group type = No. 191; electronic total energy = -6.4132 eV per atom; E_form = -2.1 kcal/mol of atoms
1.0
-0.690 4.128 0.349
-6.405 -0.911 -1.893
1.657 -0.275 6.528
Co Pm Nd
6 2 1
Direct
0.500 0.000 0.334
0.500 0.334 0.334
0.500 0.666 0.666
0.500 0.334 0.000
0.500 0.000 0.666
0.500 0.666 0.000
0.000 0.667 0.333
0.000 0.333 0.667
0.000 0.000 0.000